Record 1
First-principles (GGA-PBE) data for an optimized crystal structure of Ac3PrAg2, as listed in Alexandria via LeMat-Bulk.

```
Ac3PrAg2
1.0
3.9606 0.0000 0.0000
0.0000 3.9606 0.0000
0.0000 0.0000 13.2055
Pr Ac Ag
1 3 2
Cartesian
1.9803 1.9803 6.6028
0.0000 0.0000 3.9306
0.0000 0.0000 9.2749
0.0000 0.0000 0.0000
1.9803 1.9803 2.0028
1.9803 1.9803 11.2027
```

Properties
total energy: -3.959 eV/atom
D(E_F): 1.1964 states/eV per atom
ΔH_f (0 K): -0.157 eV/atom
space-group type: P4/mmm
magnetic moment: 0.00 μB per formula unit



Record 2
First-principles (GGA-PBE) data for an optimized crystal structure of NdThZnN3, as listed in Alexandria via LeMat-Bulk.

```
NdThZnN3
1.0
-3.0795 1.7625 -0.0532
-3.1980 -5.4616 4.1850
2.3044 4.1940 5.5555
Zn Nd N Th
2 2 6 2
Cartesian
-4.2718 -1.9235 6.0336
0.2987 2.4183 3.6537
-3.1173 0.1498 7.8867
-0.8559 0.3451 1.8006
-3.3108 -0.3515 2.4788
-1.8036 2.3095 3.3892
-4.7517 -2.8139 4.3123
-0.6624 0.8463 7.2085
-2.1696 -1.8147 6.2981
0.7786 3.3088 5.3750
-1.5726 2.7914 5.9855
-2.4006 -2.2966 3.7018
```

Properties
total energy: -7.365 eV/atom
space-group type: P2_1/m
raw formation energy: -959 meV/atom
magnetic moment: 0.00 μB per formula unit



Record 3
First-principles (GGA-PBE) data for an optimized crystal structure of SiTe, as listed in Alexandria via LeMat-Bulk.

```
SiTe
1.0
3.8633 0.0000 0.0000
-1.9317 3.3458 0.0000
0.0000 0.0000 4.7101
Te Si
1 1
Cartesian
1.9317 1.1153 3.1362
0.0000 2.2305 4.6539
```

Properties
total energy: -4.009 eV/atom
D(E_F): 0.0806 states/eV per atom
space-group type: P3m1
raw formation energy: 273 meV/atom
magnetic moment: 0.00 μB per formula unit



Record 4
First-principles (GGA-PBE) data for an optimized crystal structure of YZrSi2, as listed in Alexandria via LeMat-Bulk.

```
YZrSi2
1.0
-2.3569 2.1982 -0.7252
-1.6575 -2.3252 -1.6610
-3.6435 -1.8520 6.2283
Si Zr Y
2 1 1
Cartesian
-2.6914 -0.4113 -0.0235
-0.1583 -0.0805 0.2706
-4.9859 -1.5776 3.8987
-1.6441 -0.8357 2.8105
```

Properties
total energy: -6.711 eV/atom
D(E_F): 0.7313 states/eV per atom
space-group type: P4mm
raw formation energy: -247 meV/atom
magnetic moment: 0.00 μB per formula unit